ScTe2Cl2: optimized geometry, PBE.

Computed properties:
Total DFT energy (no corrections) (eV/f.u.): -20.718
Formation energy (no corrections) (meV per atom): -882
Space-group type: P4/mbm, No. 127

abc: 6.5499 6.5499 6.7341
angles: 90.00 90.00 90.00
Sites, in units of the cell vectors:
Cl: 0.8321 0.6679 0.0000
Cl: 0.3321 0.8321 0.0000
Cl: 0.1679 0.3321 0.0000
Cl: 0.6679 0.1679 0.0000
Te: 0.3484 0.1516 0.5000
Te: 0.8484 0.3484 0.5000
Te: 0.6516 0.8484 0.5000
Te: 0.1516 0.6516 0.5000
Sc: 0.0000 0.0000 0.0000
Sc: 0.5000 0.5000 0.0000


Sc2Te2Cl: optimized geometry, PBE.

Computed properties:
Total DFT energy (no corrections) (eV/f.u.): -27.116
Formation energy (no corrections) (meV per atom): -1265
Space-group type: P4/mbm, No. 127

abc: 7.8849 7.8849 3.8682
angles: 90.00 90.00 90.00
Sites, in units of the cell vectors:
Te: 0.3523 0.1477 0.5000
Te: 0.1477 0.6477 0.5000
Te: 0.8523 0.3523 0.5000
Te: 0.6477 0.8523 0.5000
Sc: 0.6481 0.1481 0.0000
Sc: 0.8519 0.6481 0.0000
Sc: 0.1481 0.3519 0.0000
Sc: 0.3519 0.8519 0.0000
Cl: 0.5000 0.5000 0.0000
Cl: 0.0000 0.0000 0.0000


ScTe2Cl: optimized geometry, PBE.

Computed properties:
Total DFT energy (no corrections) (eV/f.u.): -16.253
Formation energy (no corrections) (meV per atom): -448
Space-group type: Fm-3m, No. 225

abc: 5.1928 5.1928 5.1928
angles: 60.00 60.00 60.00
Sites, in units of the cell vectors:
Te: 0.2500 0.2500 0.2500
Te: 0.7500 0.7500 0.7500
Cl: 0.0000 0.0000 0.0000
Sc: 0.5000 0.5000 0.5000


What did the third record say?
ScTe2Cl: optimized geometry, PBE.

Computed properties:
Total DFT energy (no corrections) (eV/f.u.): -16.253
Formation energy (no corrections) (meV per atom): -448
Space-group type: Fm-3m, No. 225

abc: 5.1928 5.1928 5.1928
angles: 60.00 60.00 60.00
Sites, in units of the cell vectors:
Te: 0.2500 0.2500 0.2500
Te: 0.7500 0.7500 0.7500
Cl: 0.0000 0.0000 0.0000
Sc: 0.5000 0.5000 0.5000